Material: Y3HoNi8
Method: DFT, PBE
State: relaxed

a = 8.8054 Å, b = 8.8054 Å, c = 8.8054 Å
α = 33.48°, β = 33.48°, γ = 33.48°
Positions (direct):
Y: 0.0000 0.0000 0.0000
Y: 0.1250 0.1250 0.1250
Y: 0.6246 0.6246 0.6246
Ho: 0.4998 0.4998 0.4998
Ni: 0.0621 0.0621 0.5621
Ni: 0.0621 0.5621 0.0621
Ni: 0.0634 0.5624 0.5624
Ni: 0.3125 0.3125 0.3125
Ni: 0.5621 0.0621 0.0621
Ni: 0.5624 0.0634 0.5624
Ni: 0.5624 0.5624 0.0634
Ni: 0.8126 0.8126 0.8126

**ρ**: 8.09 g/cm³
**DFT formation energy**: -0.43 eV per atom